Below is a crystal of Na2ScAu relaxed with PBEsol, with properties calculated at the SCAN level.

Structure (POSCAR):
```
Na2ScAu
1.0
-3.1478 0.6910 4.3973
1.3976 -4.2075 5.0413
2.4587 4.3836 4.4508
Sc Na Au
2 4 2
direct
0.5000 0.0000 0.0000
0.2500 0.5000 0.5000
0.6809 0.9441 0.4441
0.0691 0.0559 0.5559
0.3750 0.5559 0.9441
0.8750 0.4441 0.0559
0.0000 0.0000 0.0000
0.7500 0.5000 0.5000
```

Energy of formation = 0.06 eV/atom
Total moment = 1.09 μB per cell